Entry 1:
A plane-wave DFT calculation with PBE-GGA was carried out for an optimized crystal structure of Y12Zn3O5.

Summary:
The uncorrected formation energy comes out at -30.0 eV per formula unit. The density of states at the Fermi level is 131.2 states/eV per cell. The raw total energy comes out at -6.8068 eV/atom.

a = 15.344 Å, b = 15.344 Å, c = 15.344 Å
α = 90.00°, β = 90.00°, γ = 90.00°
Space group Ia-3d (No. 230)
Unique sites:
Y1 0.038 0.053 0.649 [96 per cell]
Zn1 0.000 0.250 0.125 [24 per cell]
O1 0.000 0.000 0.000 [16 per cell]
O2 0.000 0.250 0.375 [24 per cell]

***

Entry 2:
A plane-wave DFT calculation with PBE-GGA was carried out for an optimized crystal structure of NiAu2Cl.

Summary:
The uncorrected formation energy comes out at 2.1 eV per formula unit. The calculation puts the energy above the lowest structure with this stoichiometry at 475.2 meV/atom. The density of states at the Fermi level is 23.9 states/eV per cell. The raw total energy comes out at -3.0252 eV/atom.

a = 6.500 Å, b = 6.500 Å, c = 6.500 Å
α = 90.00°, β = 90.00°, γ = 90.00°
Space group Fm-3m (No. 225)
Unique sites:
Ni1 0.000 0.000 0.000 [4 per cell]
Au1 0.250 0.250 0.250 [8 per cell]
Cl1 0.000 0.000 0.500 [4 per cell]